Record 1
This record from OQMD describes a relaxed ZnH12SeO10 crystal. The functional is PBE.

```
96
Lattice="6.800 0.000 0.000 0.000 6.800 0.000 0.000 0.000 17.399" Properties=species:S:1:pos:R:3 pbc="T T T"
Zn 1.522 1.522 0.000
Zn 1.878 4.922 4.350
Zn 4.922 1.878 13.049
Zn 5.278 5.278 8.699
H 6.800 3.314 1.141
H 0.000 3.486 9.841
H 0.086 3.400 5.491
H 0.159 4.895 10.688
H 0.295 0.780 11.832
H 0.519 4.962 7.000
H 0.535 2.362 12.123
H 0.653 5.816 0.670
H 0.780 0.295 5.567
H 0.984 6.147 8.029
H 1.038 3.935 16.472
H 1.494 3.241 6.338
H 1.562 2.881 2.650
H 1.838 6.281 1.700
H 1.906 6.641 15.410
H 2.362 0.535 5.276
H 2.416 2.747 13.719
H 2.620 3.695 16.182
H 2.747 2.416 3.679
H 2.865 5.762 9.626
H 2.881 1.562 14.749
H 3.105 4.180 9.917
H 3.241 1.494 11.061
H 3.314 6.800 16.257
H 3.400 0.086 11.908
H 3.400 6.714 3.208
H 3.486 0.000 7.558
H 3.559 5.306 2.361
H 3.695 2.620 1.217
H 3.919 5.239 6.049
H 3.935 1.038 0.926
H 4.053 4.385 12.379
H 4.180 3.105 7.482
H 4.385 4.053 5.020
H 4.438 6.265 13.975
H 4.895 0.159 6.711
H 4.962 0.519 10.399
H 5.239 3.919 11.349
H 5.306 3.559 15.037
H 5.762 2.865 7.773
H 5.816 0.653 16.728
H 6.020 6.505 14.266
H 6.147 0.984 9.370
H 6.265 4.438 3.423
H 6.281 1.838 15.699
H 6.505 6.020 3.132
H 6.641 1.906 1.988
H 6.714 3.400 14.191
Se 1.485 5.315 13.049
Se 1.915 1.915 8.699
Se 4.886 4.886 0.000
Se 5.315 1.485 4.350
O 0.138 5.125 3.207
O 0.232 5.581 7.728
O 0.269 2.201 8.682
O 0.474 2.538 1.538
O 0.781 5.931 14.431
O 0.862 3.874 5.888
O 0.869 6.019 11.667
O 1.199 3.669 13.032
O 1.220 6.568 0.971
O 1.675 6.662 5.493
O 1.725 3.262 16.256
O 2.180 3.168 3.379
O 2.201 0.269 8.717
O 2.531 2.619 10.081
O 2.538 0.474 15.861
O 2.619 2.531 7.318
O 2.926 5.938 2.812
O 3.131 5.601 13.067
O 3.168 2.180 14.020
O 3.262 1.725 1.143
O 3.538 5.075 9.842
O 3.632 4.620 5.321
O 3.669 1.199 4.367
O 3.874 0.862 11.511
O 4.181 4.269 16.017
O 4.262 6.326 7.162
O 4.269 4.181 1.382
O 4.599 6.531 0.018
O 4.620 3.632 12.078
O 5.075 3.538 7.556
O 5.125 0.138 14.192
O 5.581 0.232 9.671
O 5.601 3.131 4.332
O 5.931 0.781 2.968
O 5.938 2.926 14.587
O 6.019 0.869 5.731
O 6.326 4.262 10.237
O 6.531 4.599 17.381
O 6.568 1.220 16.428
O 6.662 1.675 11.906
```

## Properties
Raw total energy   -4.945 eV/atom


Record 2
This record from OQMD describes a relaxed SmSiH2O4 crystal. The functional is PBE.

```
32
Lattice="4.928 0.000 0.000 0.000 5.809 0.000 -2.801 0.000 12.087" Properties=species:S:1:pos:R:3 pbc="T T T"
Sm -0.451 1.388 4.125
Sm -1.852 1.517 10.169
Sm 3.979 4.293 1.919
Sm 2.578 4.422 7.962
Si 0.929 1.412 1.195
Si -0.471 1.493 7.239
Si 2.598 4.317 4.848
Si 1.198 4.397 10.892
H 0.022 4.349 5.780
H -1.378 4.365 11.824
H 0.348 0.046 9.020
H 1.748 2.859 2.977
H 0.378 2.951 9.111
H 1.779 5.763 3.067
H 3.505 1.445 0.264
H 2.105 1.460 6.307
O -2.454 4.329 11.931
O -1.054 4.385 5.888
O 0.806 0.136 2.257
O -0.594 2.768 8.301
O -0.528 0.198 8.318
O 0.873 2.707 2.274
O 2.135 1.433 0.122
O 0.735 1.472 6.165
O 1.392 4.337 5.922
O -0.008 4.377 11.966
O 1.254 3.102 9.813
O 2.654 5.612 3.770
O 2.721 3.041 3.786
O 1.321 5.673 9.830
O 3.181 1.424 6.200
O 4.581 1.480 0.156
```

## Properties
Energy relative to the lowest polymorph listed for this composition   52 meV per atom
Raw total energy   -6.559 eV/atom


Record 3
This record from OQMD describes a relaxed SmSiH2O4 crystal. The functional is PBE.

```
16
Lattice="4.817 0.000 0.000 0.000 6.417 0.000 -1.662 0.000 5.911" Properties=species:S:1:pos:R:3 pbc="T T T"
Sm -0.015 1.604 1.208
Sm 3.169 4.813 4.703
Si -0.127 1.604 4.337
Si 3.282 4.813 1.574
H 0.800 4.813 2.563
H 2.408 0.000 0.000
H 2.408 3.208 0.000
H 2.354 1.604 3.347
O -0.332 4.813 2.689
O -0.299 0.306 5.380
O -0.299 2.902 5.380
O 1.120 1.604 3.305
O 2.035 4.813 2.605
O 3.453 3.515 0.531
O 3.453 6.111 0.531
O 3.486 1.604 3.222
```

## Properties
Energy relative to the lowest polymorph listed for this composition   54 meV per atom
Raw total energy   -6.557 eV/atom


Record 4
This record from OQMD describes a relaxed SmSiH2O4 crystal. The functional is PBE.

```
16
Lattice="-3.267 3.267 4.146 3.267 -3.267 4.146 3.267 3.267 -4.146" Properties=species:S:1:pos:R:3 pbc="T T T"
Sm 3.267 1.633 1.037
Sm 0.000 1.633 3.110
Si 3.267 -1.633 3.110
Si 0.000 4.900 1.037
H 3.267 1.633 -1.223
H 0.000 1.633 0.850
H 3.267 1.633 3.297
H 0.000 1.633 5.370
O 3.267 -0.428 1.976
O 3.267 2.839 -1.976
O 1.205 1.633 0.097
O 2.061 -1.633 4.243
O 1.205 4.900 -0.097
O 2.061 1.633 4.049
O 0.000 0.428 6.122
O 0.000 3.695 2.170
```

## Properties
Energy relative to the lowest polymorph listed for this composition   386 meV per atom
Raw total energy   -6.224 eV/atom


Record 5
This record from OQMD describes a relaxed SmSiH2O4 crystal. The functional is PBE.

```
16
Lattice="0.000 5.353 3.213 4.872 0.000 3.213 4.872 5.353 0.000" Properties=species:S:1:pos:R:3 pbc="T T T"
Sm 0.000 0.000 0.000
Sm 2.436 2.676 1.607
Si 4.872 5.353 3.096
Si 7.308 8.029 4.702
H 5.288 2.981 2.383
H 6.892 5.658 3.990
H 4.456 7.725 2.383
H 2.852 5.048 3.990
O 4.370 4.141 2.132
O 5.374 6.564 2.132
O 7.809 6.818 3.739
O 6.122 4.963 4.156
O 6.806 9.241 3.739
O 8.558 8.419 5.762
O 3.622 5.742 4.156
O 6.058 7.640 5.762
```

## Properties
Energy relative to the lowest polymorph listed for this composition   0 meV per atom
Raw total energy   -6.611 eV/atom


Record 6
This record from OQMD describes a relaxed TbSiH2O4 crystal. The functional is PBE.

```
16
Lattice="-3.220 3.220 4.114 3.220 -3.220 4.114 3.220 3.220 -4.114" Properties=species:S:1:pos:R:3 pbc="T T T"
Tb 3.220 1.610 1.028
Tb 0.000 1.610 3.085
Si 3.220 -1.610 3.085
Si 0.000 4.829 1.028
H 3.220 1.610 -1.191
H 0.000 1.610 0.866
H 3.220 1.610 3.248
H 0.000 1.610 5.305
O 3.220 -0.403 1.953
O 3.220 2.817 -1.953
O 1.207 1.610 0.104
O 2.013 -1.610 4.217
O 1.207 4.829 -0.104
O 2.013 1.610 4.010
O 0.000 0.403 6.067
O 0.000 3.622 2.160
```

## Properties
Energy relative to the lowest polymorph listed for this composition   361 meV per atom
Raw total energy   -6.228 eV/atom


Repeat the fourth record exactly.
This record from OQMD describes a relaxed SmSiH2O4 crystal. The functional is PBE.

```
16
Lattice="-3.267 3.267 4.146 3.267 -3.267 4.146 3.267 3.267 -4.146" Properties=species:S:1:pos:R:3 pbc="T T T"
Sm 3.267 1.633 1.037
Sm 0.000 1.633 3.110
Si 3.267 -1.633 3.110
Si 0.000 4.900 1.037
H 3.267 1.633 -1.223
H 0.000 1.633 0.850
H 3.267 1.633 3.297
H 0.000 1.633 5.370
O 3.267 -0.428 1.976
O 3.267 2.839 -1.976
O 1.205 1.633 0.097
O 2.061 -1.633 4.243
O 1.205 4.900 -0.097
O 2.061 1.633 4.049
O 0.000 0.428 6.122
O 0.000 3.695 2.170
```

## Properties
Energy relative to the lowest polymorph listed for this composition   386 meV per atom
Raw total energy   -6.224 eV/atom


Question: Among the records above, which one has the highest raw total energy?
Answer: ZnH12SeO10


Question: Among the records above, which one has the highest raw total energy?
Answer: ZnH12SeO10